# AlP2Pt PBE optimized geometry
data_AlP2Pt
_cell_length_a 10.834
_cell_length_b 2.819
_cell_length_c 4.609
_cell_angle_alpha 90.00
_cell_angle_beta 112.97
_cell_angle_gamma 90.00
_space_group_name_H-M_alt 'C 1 2/m 1'
_space_group_IT_number 12
loop_
_space_group_symop_operation_xyz
'x,y,z'
'-x,-y,-z'
'-x,y,-z'
'x,-y,z'
'x+1/2,y+1/2,z'
'-x+1/2,-y+1/2,-z'
'-x+1/2,y+1/2,-z'
'x+1/2,-y+1/2,z'
loop_
_atom_site_label
_atom_site_type_symbol
_atom_site_fract_x
_atom_site_fract_y
_atom_site_fract_z
Al1 Al 0.000 0.000 0.000
P1 P 0.221 0.000 0.662
Pt1 Pt 0.000 0.500 0.500
# Formation energy in eV/atom: -0.017


# RbZnCl3 PBE optimized geometry
data_RbZnCl3
_cell_length_a 4.768
_cell_length_b 4.768
_cell_length_c 6.152
_cell_angle_alpha 90.00
_cell_angle_beta 90.00
_cell_angle_gamma 90.00
_space_group_name_H-M_alt 'P 4 m m'
_space_group_IT_number 99
loop_
_space_group_symop_operation_xyz
'x,y,z'
'-y,x,z'
'-x,-y,z'
'y,-x,z'
'-x,y,z'
'y,x,z'
'x,-y,z'
'-y,-x,z'
loop_
_atom_site_label
_atom_site_type_symbol
_atom_site_fract_x
_atom_site_fract_y
_atom_site_fract_z
Rb1 Rb 0.000 0.000 0.000
Zn1 Zn 0.500 0.500 0.488
Cl1 Cl 0.000 0.500 0.599
Cl2 Cl 0.500 0.500 0.119
# Raw formation energy in meV/atom: -1429


Number 1 is which compound?
AlP2Pt